A crystal of Be4CuGe relaxed with PBEsol, computed with meta-GGA SCAN.

## Properties
The calculation puts the formation energy at 0.115 eV/atom.

The structure in CIF format:
```
data_Be4CuGe
_symmetry_space_group_name_H-M 'F -4 3 m'
_symmetry_Int_Tables_number 216
_symmetry_space_group_name_Hall 'F -4 2 3'
_cell_length_a 6.200
_cell_length_b 6.200
_cell_length_c 6.200
_cell_angle_alpha 90.00
_cell_angle_beta 90.00
_cell_angle_gamma 90.00
loop_
_atom_site_label
_atom_site_type_symbol
_atom_site_fract_x
_atom_site_fract_y
_atom_site_fract_z
Be1 Be 0.124 0.124 0.124
Cu1 Cu 0.250 0.250 0.750
Ge1 Ge 0.000 0.000 0.500
```

---

A crystal of BeCuGe3 relaxed with PBEsol, computed with meta-GGA SCAN.

## Properties
The calculation puts the formation energy at 0.707 eV/atom.

The structure in CIF format:
```
data_BeCuGe3
_symmetry_space_group_name_H-M 'P m -3 m'
_symmetry_Int_Tables_number 221
_symmetry_space_group_name_Hall '-P 4 2 3'
_cell_length_a 4.389
_cell_length_b 4.389
_cell_length_c 4.389
_cell_angle_alpha 90.00
_cell_angle_beta 90.00
_cell_angle_gamma 90.00
loop_
_atom_site_label
_atom_site_type_symbol
_atom_site_fract_x
_atom_site_fract_y
_atom_site_fract_z
Be1 Be 0.000 0.000 0.000
Cu1 Cu 0.500 0.500 0.500
Ge1 Ge 0.000 0.000 0.500
```

---

A crystal of BeCuGePb2 relaxed with PBEsol, computed with meta-GGA SCAN.

## Properties
The calculation puts the formation energy at 0.923 eV/atom.

The structure in CIF format:
```
data_BeCuGePb2
_symmetry_space_group_name_H-M 'P 4/m m m'
_symmetry_Int_Tables_number 123
_symmetry_space_group_name_Hall '-P 4 2'
_cell_length_a 5.511
_cell_length_b 5.511
_cell_length_c 4.356
_cell_angle_alpha 90.00
_cell_angle_beta 90.00
_cell_angle_gamma 90.00
loop_
_atom_site_label
_atom_site_type_symbol
_atom_site_fract_x
_atom_site_fract_y
_atom_site_fract_z
Be1 Be 0.000 0.000 0.000
Cu1 Cu 0.500 0.500 0.000
Ge1 Ge 0.500 0.500 0.500
Pb1 Pb 0.000 0.500 0.500
```

---

Number 1: total DFT energy (no corrections) -8.502 eV per atom. Number 2: total DFT energy (no corrections) -14.656 eV per atom. Number 3: total DFT energy (no corrections) -37.118 eV per atom.